Arrangement one

A plane-wave DFT calculation with PBE-GGA was carried out for an optimized crystal structure of YTaNi.

Unit cell a=6.127 b=6.127 c=3.199 alpha=74.87 beta=74.87 gamma=30.26
Element x y z (fractional)
Ni: 0.970 0.970 0.030
Ta: 0.365 0.365 0.635
Y: 0.665 0.665 0.335

Summary:
- D(E_F) (states/eV per cell) = 3.300
- space group = I4mm
- crystal system = tetragonal

Arrangement two

A plane-wave DFT calculation with PBE-GGA was carried out for an optimized crystal structure of YTaNi.

Unit cell a=3.244 b=3.244 c=6.529 alpha=90.00 beta=90.00 gamma=120.00
Element x y z (fractional)
Ni: 0.000 0.000 0.031
Ta: 0.667 0.333 0.287
Y: 0.333 0.667 0.683

Summary:
- D(E_F) (states/eV per cell) = 3.019
- space group = P3m1
- crystal system = trigonal

Stability comparison, relative energies in meV per atom: arrangement one 0; arrangement two 287

Arrangement one

A plane-wave DFT calculation with PBE-GGA was carried out for an optimized crystal structure of TaZnNi3.

Unit cell a=4.455 b=4.707 c=6.917 alpha=109.89 beta=90.00 gamma=90.00
Element x y z (fractional)
Ta: 0.750 0.807 0.614
Ta: 0.250 0.193 0.386
Zn: 0.750 0.439 0.877
Zn: 0.250 0.561 0.123
Ni: 0.750 0.885 0.277
Ni: 0.750 0.392 0.277
Ni: 0.250 0.608 0.723
Ni: 0.250 0.115 0.723
Ni: 0.000 0.000 0.000
Ni: 0.500 0.000 0.000

Summary:
- D(E_F) (states/eV per cell) = 8.072
- space group = Cmcm
- crystal system = orthorhombic

Arrangement two

A plane-wave DFT calculation with PBE-GGA was carried out for an optimized crystal structure of TaZnNi3.

Unit cell a=4.542 b=4.542 c=4.542 alpha=90.00 beta=90.00 gamma=90.00
Element x y z (fractional)
Ni: 0.000 0.500 0.000
Ni: 0.000 0.000 0.500
Ni: 0.500 0.000 0.000
Zn: 0.500 0.500 0.500
Ta: 0.000 0.000 0.000

Summary:
- D(E_F) (states/eV per cell) = 4.839
- space group = Pm-3m
- crystal system = cubic

Stability comparison, relative energies in meV per atom: arrangement one 0; arrangement two 1285

Arrangement one

A plane-wave DFT calculation with PBE-GGA was carried out for an optimized crystal structure of TaZnNi3.

Unit cell a=4.626 b=5.813 c=5.813 alpha=120.00 beta=90.00 gamma=90.00
Element x y z (fractional)
Ta: 0.250 0.334 0.666
Ta: 0.750 0.666 0.334
Zn: 0.000 0.000 0.000
Zn: 0.500 0.000 0.000
Ni: 0.250 0.799 0.201
Ni: 0.750 0.201 0.799
Ni: 0.250 0.799 0.598
Ni: 0.750 0.201 0.402
Ni: 0.250 0.402 0.201
Ni: 0.750 0.598 0.799

Summary:
- D(E_F) (states/eV per cell) = 5.777
- space group = P6_3/mmc
- crystal system = hexagonal

Arrangement two

A plane-wave DFT calculation with PBE-GGA was carried out for an optimized crystal structure of TaZnNi3.

Unit cell a=4.227 b=4.227 c=4.227 alpha=90.00 beta=90.00 gamma=90.00
Element x y z (fractional)
Ni: 0.000 0.500 0.000
Ni: 0.000 0.000 0.500
Ni: 0.500 0.000 0.000
Zn: 0.000 0.000 0.000
Ta: 0.500 0.500 0.500

Summary:
- D(E_F) (states/eV per cell) = 9.165
- space group = Pm-3m
- crystal system = cubic

Stability comparison, relative energies in meV per atom: arrangement one 0; arrangement two 759

Arrangement one

A plane-wave DFT calculation with PBE-GGA was carried out for an optimized crystal structure of TaZn2Ni.

Unit cell a=5.185 b=5.185 c=2.634 alpha=81.25 beta=81.25 gamma=119.55
Element x y z (fractional)
Ni: 0.500 0.000 0.500
Ta: 0.000 0.500 0.500
Zn: 0.000 0.000 0.000
Zn: 0.500 0.500 0.000

Summary:
- D(E_F) (states/eV per cell) = 3.107
- space group = C2/m
- crystal system = monoclinic

Arrangement two

A plane-wave DFT calculation with PBE-GGA was carried out for an optimized crystal structure of TaZn2Ni.

Unit cell a=5.375 b=5.375 c=4.616 alpha=64.49 beta=64.49 gamma=29.01
Element x y z (fractional)
Ni: 0.750 0.750 0.750
Ta: 0.250 0.250 0.250
Zn: 0.023 0.023 0.977
Zn: 0.477 0.477 0.523

Summary:
- D(E_F) (states/eV per cell) = 2.207
- space group = C2/m
- crystal system = monoclinic

Stability comparison, relative energies in meV per atom: arrangement one 98; arrangement two 0

Arrangement one

A plane-wave DFT calculation with PBE-GGA was carried out for an optimized crystal structure of TaZn2Ni.

Unit cell a=8.940 b=8.940 c=8.940 alpha=17.89 beta=17.89 gamma=17.89
Element x y z (fractional)
Ni: 0.250 0.250 0.250
Ta: 0.750 0.750 0.750
Zn: 0.991 0.991 0.991
Zn: 0.509 0.509 0.509

Summary:
- D(E_F) (states/eV per cell) = 4.212
- space group = R-3m
- crystal system = trigonal

Arrangement two

A plane-wave DFT calculation with PBE-GGA was carried out for an optimized crystal structure of TaZn2Ni.

Unit cell a=4.047 b=2.707 c=5.459 alpha=75.79 beta=90.00 gamma=90.00
Element x y z (fractional)
Ni: 0.000 0.303 0.518
Ta: 0.500 0.704 0.717
Zn: 0.000 0.050 0.026
Zn: 0.500 0.442 0.239

Summary:
- D(E_F) (states/eV per cell) = 1.487
- space group = Pm
- crystal system = monoclinic

Arrangement three

A plane-wave DFT calculation with PBE-GGA was carried out for an optimized crystal structure of TaZn2Ni.

Unit cell a=4.129 b=3.738 c=3.738 alpha=90.00 beta=90.00 gamma=90.00
Element x y z (fractional)
Ni: 0.500 0.500 0.000
Ta: 0.500 0.000 0.500
Zn: 0.000 0.000 0.000
Zn: 0.000 0.500 0.500

Summary:
- D(E_F) (states/eV per cell) = 4.489
- space group = P4/mmm
- crystal system = tetragonal

Stability comparison, relative energies in meV per atom: arrangement one 124; arrangement two 0; arrangement three 60

Arrangement one

A plane-wave DFT calculation with PBE-GGA was carried out for an optimized crystal structure of TaZn2Ni.

Unit cell a=4.313 b=4.313 c=4.313 alpha=60.00 beta=60.00 gamma=60.00
Element x y z (fractional)
Ni: 0.000 0.000 0.000
Zn: 0.250 0.250 0.250
Zn: 0.750 0.750 0.750
Ta: 0.500 0.500 0.500

Summary:
- D(E_F) (states/eV per cell) = 6.538
- space group = Fm-3m
- crystal system = cubic

Arrangement two

A plane-wave DFT calculation with PBE-GGA was carried out for an optimized crystal structure of TaZn2Ni.

Unit cell a=4.309 b=4.309 c=4.309 alpha=60.00 beta=60.00 gamma=60.00
Element x y z (fractional)
Ni: 0.500 0.500 0.500
Ta: 0.250 0.250 0.250
Zn: 0.000 0.000 0.000
Zn: 0.750 0.750 0.750

Summary:
- D(E_F) (states/eV per cell) = 2.369
- space group = F-43m
- crystal system = cubic

Arrangement three

A plane-wave DFT calculation with PBE-GGA was carried out for an optimized crystal structure of TaZn2Ni.

Unit cell a=4.249 b=2.703 c=5.123 alpha=78.92 beta=90.00 gamma=90.00
Element x y z (fractional)
Ni: 0.500 0.250 0.250
Ta: 0.500 0.750 0.750
Zn: 0.000 0.102 0.018
Zn: 0.000 0.398 0.482

Summary:
- D(E_F) (states/eV per cell) = 2.769
- space group = P2/m
- crystal system = monoclinic

Stability comparison, relative energies in meV per atom: arrangement one 165; arrangement two 0; arrangement three 36

Arrangement one

A plane-wave DFT calculation with PBE-GGA was carried out for an optimized crystal structure of TaZn2Ni.

Unit cell a=4.506 b=4.506 c=4.506 alpha=126.61 beta=126.61 gamma=78.88
Element x y z (fractional)
Ni: 0.250 0.750 0.500
Ta: 0.750 0.250 0.500
Zn: 0.000 0.000 0.000
Zn: 0.500 0.500 0.000

Summary:
- D(E_F) (states/eV per cell) = 3.322
- space group = I4/mmm
- crystal system = tetragonal

Arrangement two

A plane-wave DFT calculation with PBE-GGA was carried out for an optimized crystal structure of TaZn2Ni.

Unit cell a=2.823 b=2.823 c=7.125 alpha=90.00 beta=90.00 gamma=90.00
Element x y z (fractional)
Ni: 0.500 0.500 0.250
Ta: 0.500 0.500 0.750
Zn: 0.000 0.000 0.033
Zn: 0.000 0.000 0.467

Summary:
- D(E_F) (states/eV per cell) = 1.983
- space group = P4/mmm
- crystal system = tetragonal

Arrangement three

A plane-wave DFT calculation with PBE-GGA was carried out for an optimized crystal structure of TaZn2Ni.

Unit cell a=6.948 b=6.948 c=5.532 alpha=51.10 beta=51.10 gamma=90.00
Element x y z (fractional)
Ni: 0.500 0.500 0.000
Ni: 0.250 0.750 0.500
Zn: 0.591 0.125 0.250
Zn: 0.159 0.625 0.250
Zn: 0.375 0.409 0.750
Zn: 0.875 0.841 0.750
Ta: 0.000 0.000 0.000
Ta: 0.750 0.250 0.500

Summary:
- D(E_F) (states/eV per cell) = 5.522
- space group = I-42d
- crystal system = tetragonal

Stability comparison, relative energies in meV per atom: arrangement one 203; arrangement two 0; arrangement three 400

Arrangement one

A plane-wave DFT calculation with PBE-GGA was carried out for an optimized crystal structure of TaZn2Ni.

Unit cell a=4.986 b=4.986 c=2.640 alpha=90.00 beta=90.00 gamma=115.91
Element x y z (fractional)
Ni: 0.500 0.000 0.500
Ta: 0.000 0.500 0.500
Zn: 0.000 0.000 0.000
Zn: 0.500 0.500 0.000

Summary:
- D(E_F) (states/eV per cell) = 3.176
- space group = Cmmm
- crystal system = orthorhombic

Arrangement two

A plane-wave DFT calculation with PBE-GGA was carried out for an optimized crystal structure of TaZn2Ni.

Unit cell a=9.075 b=9.075 c=9.075 alpha=17.62 beta=17.62 gamma=17.62
Element x y z (fractional)
Ni: 0.502 0.502 0.502
Ta: 0.756 0.756 0.756
Zn: 0.999 0.999 0.999
Zn: 0.243 0.243 0.243

Summary:
- D(E_F) (states/eV per cell) = 1.849
- space group = R3m
- crystal system = trigonal

Stability comparison, relative energies in meV per atom: arrangement one 65; arrangement two 0

Arrangement one

A plane-wave DFT calculation with PBE-GGA was carried out for an optimized crystal structure of TaZn2Ni.

Unit cell a=4.576 b=4.576 c=4.976 alpha=80.62 beta=80.62 gamma=34.59
Element x y z (fractional)
Ni: 0.493 0.493 0.482
Ta: 0.244 0.244 0.281
Zn: 0.006 0.006 0.971
Zn: 0.757 0.757 0.766

Summary:
- D(E_F) (states/eV per cell) = 1.891
- space group = Cm
- crystal system = monoclinic

Arrangement two

A plane-wave DFT calculation with PBE-GGA was carried out for an optimized crystal structure of TaZn2Ni.

Unit cell a=2.850 b=2.934 c=6.858 alpha=90.00 beta=90.00 gamma=90.00
Element x y z (fractional)
Ni: 0.000 0.000 0.483
Zn: 0.000 0.000 0.017
Zn: 0.500 0.500 0.269
Ta: 0.500 0.500 0.731

Summary:
- D(E_F) (states/eV per cell) = 3.138
- space group = Pmm2
- crystal system = orthorhombic

Stability comparison, relative energies in meV per atom: arrangement one 118; arrangement two 0

Arrangement one

A plane-wave DFT calculation with PBE-GGA was carried out for an optimized crystal structure of Zr2TaNi.

Unit cell a=3.422 b=4.801 c=4.480 alpha=90.00 beta=90.00 gamma=90.00
Element x y z (fractional)
Ni: 0.500 0.000 0.500
Ta: 0.000 0.500 0.500
Zr: 0.000 0.000 0.000
Zr: 0.500 0.500 0.000

Summary:
- D(E_F) (states/eV per cell) = 5.392
- space group = Pmmm
- crystal system = orthorhombic

Arrangement two

A plane-wave DFT calculation with PBE-GGA was carried out for an optimized crystal structure of Zr2TaNi.

Unit cell a=3.216 b=3.210 c=7.919 alpha=66.03 beta=90.00 gamma=90.00
Element x y z (fractional)
Ni: 0.500 0.250 0.250
Ta: 0.500 0.750 0.750
Zr: 0.000 0.979 0.021
Zr: 0.000 0.521 0.479

Summary:
- D(E_F) (states/eV per cell) = 2.826
- space group = P4/mmm
- crystal system = tetragonal

Stability comparison, relative energies in meV per atom: arrangement one 228; arrangement two 0

Arrangement one

A plane-wave DFT calculation with PBE-GGA was carried out for an optimized crystal structure of Zr2TaNi.

Unit cell a=5.497 b=5.497 c=4.960 alpha=63.16 beta=63.16 gamma=34.15
Element x y z (fractional)
Ni: 0.250 0.250 0.250
Ta: 0.750 0.750 0.750
Zr: 0.981 0.981 0.019
Zr: 0.519 0.519 0.481

Summary:
- D(E_F) (states/eV per cell) = 4.196
- space group = Immm
- crystal system = orthorhombic

Arrangement two

A plane-wave DFT calculation with PBE-GGA was carried out for an optimized crystal structure of Zr2TaNi.

Unit cell a=5.399 b=5.399 c=5.399 alpha=136.15 beta=136.15 gamma=63.75
Element x y z (fractional)
Ni: 0.500 0.500 0.000
Ta: 0.250 0.750 0.500
Zr: 0.000 0.000 0.000
Zr: 0.750 0.250 0.500

Summary:
- D(E_F) (states/eV per cell) = 5.022
- space group = I-4m2
- crystal system = tetragonal

Arrangement three

A plane-wave DFT calculation with PBE-GGA was carried out for an optimized crystal structure of Zr2TaNi.

Unit cell a=3.111 b=3.111 c=7.793 alpha=90.00 beta=90.00 gamma=90.00
Element x y z (fractional)
Ni: 0.000 0.000 0.531
Ta: 0.500 0.500 0.708
Zr: 0.000 0.000 0.977
Zr: 0.500 0.500 0.284

Summary:
- D(E_F) (states/eV per cell) = 3.890
- space group = P4mm
- crystal system = tetragonal

Stability comparison, relative energies in meV per atom: arrangement one 155; arrangement two 161; arrangement three 0

Arrangement one

A plane-wave DFT calculation with PBE-GGA was carried out for an optimized crystal structure of Zr2TaNi.

Unit cell a=4.663 b=4.663 c=3.412 alpha=90.00 beta=90.00 gamma=90.01
Element x y z (fractional)
Ni: 0.500 0.000 0.500
Ta: 0.000 0.500 0.500
Zr: 0.000 0.000 0.000
Zr: 0.500 0.500 0.000

Summary:
- D(E_F) (states/eV per cell) = 6.070
- space group = P4/mmm
- crystal system = tetragonal

Arrangement two

A plane-wave DFT calculation with PBE-GGA was carried out for an optimized crystal structure of Zr2TaNi.

Unit cell a=5.624 b=5.624 c=5.150 alpha=62.04 beta=62.04 gamma=32.08
Element x y z (fractional)
Ni: 0.510 0.510 0.395
Ta: 0.210 0.210 0.347
Zr: 0.992 0.992 0.997
Zr: 0.788 0.788 0.761

Summary:
- D(E_F) (states/eV per cell) = 3.696
- space group = Cm
- crystal system = monoclinic

Stability comparison, relative energies in meV per atom: arrangement one 73; arrangement two 0